[1]
First-principles (PBEsol) data for La4Br3ClO4 after structural relaxation, as listed in the Alexandria database. Values from VASP.

Results
- formation energy (no corrections) (eV/atom) = -3.065
- total magnetization (Bohr magnetons per cell) = 0.0
- uncorrected energy (eV per atom) = -7.232

Structure (Quantum ESPRESSO input):
```
&SYSTEM
  ibrav = 0, nat = 12, ntyp = 4
/
ATOMIC_SPECIES
La 138.91 La.upf
Br 79.90 Br.upf
Cl 35.45 Cl.upf
O 16.00 O.upf
ATOMIC_POSITIONS crystal
La 0.000 0.168 0.336
La 0.000 0.670 0.340
La 0.500 0.087 0.668
La 0.500 0.581 0.668
Br 0.000 0.935 0.870
Br 0.500 0.809 0.131
Br 0.500 0.322 0.131
Cl 0.000 0.425 0.850
O 0.500 0.249 0.498
O 0.500 0.753 0.506
O 0.000 0.500 0.502
O 0.000 0.002 0.502
CELL_PARAMETERS angstrom
-2.713 -2.937 -0.888
6.043 -4.694 -2.939
-2.059 -0.532 8.048
```



[2]
First-principles (PBEsol) data for LaPBrCl2 after structural relaxation, as listed in the Alexandria database. Values from VASP.

Results
- formation energy (no corrections) (eV/atom) = -0.202
- total magnetization (Bohr magnetons per cell) = 0.2
- uncorrected energy (eV per atom) = -3.607
- energy relative to the lowest polymorph listed for this composition (kJ/mol of atoms) = 52.38

Structure (Quantum ESPRESSO input):
```
&SYSTEM
  ibrav = 0, nat = 5, ntyp = 4
/
ATOMIC_SPECIES
P 30.97 P.upf
Cl 35.45 Cl.upf
Br 79.90 Br.upf
La 138.91 La.upf
ATOMIC_POSITIONS crystal
P 0.500 0.000 0.000
Cl 0.000 0.000 0.500
Cl 0.000 0.500 0.000
Br 0.000 0.000 0.000
La 0.500 0.500 0.500
CELL_PARAMETERS angstrom
5.206 0.000 0.000
0.000 4.949 0.000
0.000 0.000 4.949
```



[3]
First-principles (PBEsol) data for LaPBrCl2 after structural relaxation, as listed in the Alexandria database. Values from VASP.

Results
- formation energy (no corrections) (eV/atom) = -0.745
- total magnetization (Bohr magnetons per cell) = 1.5
- uncorrected energy (eV per atom) = -4.150
- energy relative to the lowest polymorph listed for this composition (kJ/mol of atoms) = 0.00

Structure (Quantum ESPRESSO input):
```
&SYSTEM
  ibrav = 0, nat = 5, ntyp = 4
/
ATOMIC_SPECIES
P 30.97 P.upf
Cl 35.45 Cl.upf
Br 79.90 Br.upf
La 138.91 La.upf
ATOMIC_POSITIONS crystal
P 0.000 0.000 0.500
Cl 0.000 0.500 0.000
Cl 0.500 0.000 0.000
Br 0.500 0.500 0.500
La 0.000 0.000 0.000
CELL_PARAMETERS angstrom
-0.696 4.575 -2.621
-2.061 -2.669 -4.112
-5.610 0.552 2.453
```



[4]
First-principles (PBEsol) data for LaWBr2Cl after structural relaxation, as listed in the Alexandria database. Values from VASP.

Results
- formation energy (no corrections) (eV/atom) = 0.120
- total magnetization (Bohr magnetons per cell) = 6.0
- uncorrected energy (eV per atom) = -4.860

Structure (Quantum ESPRESSO input):
```
&SYSTEM
  ibrav = 0, nat = 5, ntyp = 4
/
ATOMIC_SPECIES
Cl 35.45 Cl.upf
Br 79.90 Br.upf
W 183.84 W.upf
La 138.91 La.upf
ATOMIC_POSITIONS crystal
Cl 0.500 0.000 0.000
Br 0.000 0.000 0.500
Br 0.000 0.500 0.000
W 0.500 0.500 0.500
La 0.000 0.000 0.000
CELL_PARAMETERS angstrom
5.445 0.000 0.000
0.000 5.774 0.000
0.000 0.000 5.774
```



[5]
First-principles (PBEsol) data for LiBr2Cl after structural relaxation, as listed in the Alexandria database. Values from VASP.

Results
- formation energy (no corrections) (eV/atom) = -0.443
- total magnetization (Bohr magnetons per cell) = 0.0
- uncorrected energy (eV per atom) = -2.372
- energy relative to the lowest polymorph listed for this composition (kJ/mol of atoms) = 27.09

Structure (Quantum ESPRESSO input):
```
&SYSTEM
  ibrav = 0, nat = 4, ntyp = 3
/
ATOMIC_SPECIES
Cl 35.45 Cl.upf
Br 79.90 Br.upf
Li 6.94 Li.upf
ATOMIC_POSITIONS crystal
Cl 0.500 0.000 0.500
Br 0.000 0.000 0.810
Br 0.000 0.000 0.190
Li 0.500 0.000 0.000
CELL_PARAMETERS angstrom
-2.012 -3.401 1.589
0.613 0.521 -3.817
6.099 -3.367 0.519
```



[6]
First-principles (PBEsol) data for Li3BrCl after structural relaxation, as listed in the Alexandria database. Values from VASP.

Results
- formation energy (no corrections) (eV/atom) = -1.003
- total magnetization (Bohr magnetons per cell) = 0.0
- uncorrected energy (eV per atom) = -2.959

Structure (Quantum ESPRESSO input):
```
&SYSTEM
  ibrav = 0, nat = 5, ntyp = 3
/
ATOMIC_SPECIES
Li 6.94 Li.upf
Br 79.90 Br.upf
Cl 35.45 Cl.upf
ATOMIC_POSITIONS crystal
Li 0.000 0.500 0.000
Li 0.000 0.000 0.500
Li 0.500 0.000 0.000
Br 0.500 0.500 0.500
Cl 0.000 0.000 0.000
CELL_PARAMETERS angstrom
4.718 0.000 0.000
0.000 4.718 0.000
0.000 0.000 4.718
```



[7]
First-principles (PBEsol) data for LiBrCl2 after structural relaxation, as listed in the Alexandria database. Values from VASP.

Results
- formation energy (no corrections) (eV/atom) = -0.905
- total magnetization (Bohr magnetons per cell) = 0.0
- uncorrected energy (eV per atom) = -2.868

Structure (Quantum ESPRESSO input):
```
&SYSTEM
  ibrav = 0, nat = 4, ntyp = 3
/
ATOMIC_SPECIES
Cl 35.45 Cl.upf
Br 79.90 Br.upf
Li 6.94 Li.upf
ATOMIC_POSITIONS crystal
Cl 0.890 0.890 0.329
Cl 0.110 0.110 0.671
Br 0.000 0.000 0.000
Li 0.500 0.500 0.500
CELL_PARAMETERS angstrom
3.881 0.000 0.000
1.941 3.361 0.000
1.941 1.120 7.269
```



[8]
First-principles (PBEsol) data for LiBr2Cl after structural relaxation, as listed in the Alexandria database. Values from VASP.

Results
- formation energy (no corrections) (eV/atom) = -0.664
- total magnetization (Bohr magnetons per cell) = 0.0
- uncorrected energy (eV per atom) = -2.593
- energy relative to the lowest polymorph listed for this composition (kJ/mol of atoms) = 5.77

Structure (Quantum ESPRESSO input):
```
&SYSTEM
  ibrav = 0, nat = 4, ntyp = 3
/
ATOMIC_SPECIES
Li 6.94 Li.upf
Br 79.90 Br.upf
Cl 35.45 Cl.upf
ATOMIC_POSITIONS crystal
Li 0.500 0.500 0.000
Br 0.750 0.250 0.500
Br 0.250 0.750 0.500
Cl 0.000 0.000 0.000
CELL_PARAMETERS angstrom
3.854 0.000 0.000
0.000 3.854 0.000
-1.927 -1.927 7.247
```



[9]
First-principles (PBEsol) data for LiBr2Cl after structural relaxation, as listed in the Alexandria database. Values from VASP.

Results
- formation energy (no corrections) (eV/atom) = -0.586
- total magnetization (Bohr magnetons per cell) = 0.0
- uncorrected energy (eV per atom) = -2.515
- energy relative to the lowest polymorph listed for this composition (kJ/mol of atoms) = 13.28

Structure (Quantum ESPRESSO input):
```
&SYSTEM
  ibrav = 0, nat = 4, ntyp = 3
/
ATOMIC_SPECIES
Cl 35.45 Cl.upf
Br 79.90 Br.upf
Li 6.94 Li.upf
ATOMIC_POSITIONS crystal
Cl 0.000 0.000 0.000
Br 0.500 0.500 0.000
Br 0.750 0.250 0.500
Li 0.250 0.750 0.500
CELL_PARAMETERS angstrom
-3.010 -0.917 2.060
2.254 -1.271 2.728
0.441 7.966 0.757
```



[10]
First-principles (PBEsol) data for LiBr2Cl after structural relaxation, as listed in the Alexandria database. Values from VASP.

Results
- formation energy (no corrections) (eV/atom) = -0.224
- total magnetization (Bohr magnetons per cell) = 2.0
- uncorrected energy (eV per atom) = -2.153
- energy relative to the lowest polymorph listed for this composition (kJ/mol of atoms) = 48.21

Structure (Quantum ESPRESSO input):
```
&SYSTEM
  ibrav = 0, nat = 4, ntyp = 3
/
ATOMIC_SPECIES
Cl 35.45 Cl.upf
Br 79.90 Br.upf
Li 6.94 Li.upf
ATOMIC_POSITIONS crystal
Cl 0.000 0.000 0.000
Br 0.250 0.250 0.250
Br 0.750 0.750 0.750
Li 0.500 0.500 0.500
CELL_PARAMETERS angstrom
-2.120 2.906 3.602
-1.179 -2.011 4.526
2.678 1.289 4.134
```



[11]
First-principles (PBEsol) data for LiBr2Cl after structural relaxation, as listed in the Alexandria database. Values from VASP.

Results
- formation energy (no corrections) (eV/atom) = -0.724
- total magnetization (Bohr magnetons per cell) = 0.0
- uncorrected energy (eV per atom) = -2.653
- energy relative to the lowest polymorph listed for this composition (kJ/mol of atoms) = 0.00

Structure (Quantum ESPRESSO input):
```
&SYSTEM
  ibrav = 0, nat = 4, ntyp = 3
/
ATOMIC_SPECIES
Cl 35.45 Cl.upf
Br 79.90 Br.upf
Li 6.94 Li.upf
ATOMIC_POSITIONS crystal
Cl 0.000 0.000 0.000
Br 0.892 0.892 0.324
Br 0.108 0.108 0.676
Li 0.500 0.500 0.500
CELL_PARAMETERS angstrom
-3.645 -0.226 -1.809
-0.251 -0.157 -4.065
-0.969 -7.588 -1.689
```



[12]
First-principles (PBEsol) data for LiSe2BrCl after structural relaxation, as listed in the Alexandria database. Values from VASP.

Results
- formation energy (no corrections) (eV/atom) = 0.220
- total magnetization (Bohr magnetons per cell) = 0.0
- uncorrected energy (eV per atom) = -2.489

Structure (Quantum ESPRESSO input):
```
&SYSTEM
  ibrav = 0, nat = 5, ntyp = 4
/
ATOMIC_SPECIES
Li 6.94 Li.upf
Se 78.96 Se.upf
Br 79.90 Br.upf
Cl 35.45 Cl.upf
ATOMIC_POSITIONS crystal
Li 0.000 0.000 0.000
Se 0.000 0.000 0.500
Se 0.000 0.500 0.000
Br 0.500 0.000 0.000
Cl 0.500 0.500 0.500
CELL_PARAMETERS angstrom
-2.293 2.866 -2.803
2.726 -1.351 -3.610
-3.061 -3.447 -1.021
```



[13]
First-principles (PBEsol) data for Mg2BrCl after structural relaxation, as listed in the Alexandria database. Values from VASP.

Results
- formation energy (no corrections) (eV/atom) = -0.901
- total magnetization (Bohr magnetons per cell) = 0.0
- uncorrected energy (eV per atom) = -2.729

Structure (Quantum ESPRESSO input):
```
&SYSTEM
  ibrav = 0, nat = 4, ntyp = 3
/
ATOMIC_SPECIES
Br 79.90 Br.upf
Cl 35.45 Cl.upf
Mg 24.30 Mg.upf
ATOMIC_POSITIONS crystal
Br 0.540 0.460 0.460
Cl 0.697 0.803 0.803
Mg 0.012 0.988 0.988
Mg 0.250 0.250 0.250
CELL_PARAMETERS angstrom
-0.907 2.995 -1.319
-3.558 -1.216 -4.688
-5.930 0.498 0.837
```



[14]
First-principles (PBEsol) data for MgS2BrCl after structural relaxation, as listed in the Alexandria database. Values from VASP.

Results
- formation energy (no corrections) (eV/atom) = 0.044
- total magnetization (Bohr magnetons per cell) = 0.0
- uncorrected energy (eV per atom) = -2.829

Structure (Quantum ESPRESSO input):
```
&SYSTEM
  ibrav = 0, nat = 5, ntyp = 4
/
ATOMIC_SPECIES
S 32.06 S.upf
Mg 24.30 Mg.upf
Br 79.90 Br.upf
Cl 35.45 Cl.upf
ATOMIC_POSITIONS crystal
S 0.000 0.000 0.500
S 0.000 0.500 0.000
Mg 0.000 0.000 0.000
Br 0.500 0.500 0.500
Cl 0.500 0.000 0.000
CELL_PARAMETERS angstrom
-1.738 1.973 3.752
2.105 -3.431 2.779
4.006 2.778 0.395
```



[15]
First-principles (PBEsol) data for MgSBrCl2 after structural relaxation, as listed in the Alexandria database. Values from VASP.

Results
- formation energy (no corrections) (eV/atom) = 0.159
- total magnetization (Bohr magnetons per cell) = 0.0
- uncorrected energy (eV per atom) = -2.238

Structure (Quantum ESPRESSO input):
```
&SYSTEM
  ibrav = 0, nat = 5, ntyp = 4
/
ATOMIC_SPECIES
S 32.06 S.upf
Mg 24.30 Mg.upf
Br 79.90 Br.upf
Cl 35.45 Cl.upf
ATOMIC_POSITIONS crystal
S 0.000 0.000 0.500
Mg 0.500 0.500 0.500
Br 0.000 0.000 0.000
Cl 0.000 0.500 0.000
Cl 0.500 0.000 0.000
CELL_PARAMETERS angstrom
-0.206 3.439 -3.729
-4.444 1.677 1.792
2.394 3.266 2.880
```



[16]
First-principles (PBEsol) data for Mn2BrCl after structural relaxation, as listed in the Alexandria database. Values from VASP.

Results
- formation energy (no corrections) (eV/atom) = 0.220
- total magnetization (Bohr magnetons per cell) = 8.2
- uncorrected energy (eV per atom) = -5.630
- energy relative to the lowest polymorph listed for this composition (kJ/mol of atoms) = 4.97

Structure (Quantum ESPRESSO input):
```
&SYSTEM
  ibrav = 0, nat = 4, ntyp = 3
/
ATOMIC_SPECIES
Mn 54.94 Mn.upf
Br 79.90 Br.upf
Cl 35.45 Cl.upf
ATOMIC_POSITIONS crystal
Mn 0.000 0.500 0.000
Mn 0.000 0.000 0.500
Br 0.000 0.000 0.000
Cl 0.000 0.500 0.500
CELL_PARAMETERS angstrom
3.343 -0.014 -0.020
-1.566 4.898 -0.006
-1.566 -1.630 4.619
```



[17]
First-principles (PBEsol) data for Mn2BrCl after structural relaxation, as listed in the Alexandria database. Values from VASP.

Results
- formation energy (no corrections) (eV/atom) = 0.255
- total magnetization (Bohr magnetons per cell) = 8.1
- uncorrected energy (eV per atom) = -5.595
- energy relative to the lowest polymorph listed for this composition (kJ/mol of atoms) = 8.34

Structure (Quantum ESPRESSO input):
```
&SYSTEM
  ibrav = 0, nat = 4, ntyp = 3
/
ATOMIC_SPECIES
Mn 54.94 Mn.upf
Br 79.90 Br.upf
Cl 35.45 Cl.upf
ATOMIC_POSITIONS crystal
Mn 0.250 0.250 0.250
Mn 0.750 0.750 0.750
Br 0.500 0.500 0.500
Cl 0.000 0.000 0.000
CELL_PARAMETERS angstrom
4.538 0.000 0.000
2.269 3.930 0.000
2.269 1.310 3.705
```



[18]
First-principles (PBEsol) data for Mn2BrCl after structural relaxation, as listed in the Alexandria database. Values from VASP.

Results
- formation energy (no corrections) (eV/atom) = 0.169
- total magnetization (Bohr magnetons per cell) = 8.0
- uncorrected energy (eV per atom) = -5.681
- energy relative to the lowest polymorph listed for this composition (kJ/mol of atoms) = 0.00

Structure (Quantum ESPRESSO input):
```
&SYSTEM
  ibrav = 0, nat = 4, ntyp = 3
/
ATOMIC_SPECIES
Mn 54.94 Mn.upf
Br 79.90 Br.upf
Cl 35.45 Cl.upf
ATOMIC_POSITIONS crystal
Mn 0.000 0.000 0.000
Mn 0.260 0.240 0.240
Br 0.547 0.453 0.453
Cl 0.693 0.807 0.807
CELL_PARAMETERS angstrom
-1.718 -2.442 -1.054
3.772 -3.935 -1.791
0.556 -4.141 3.932
```



[19]
First-principles (PBEsol) data for Mn3BrCl after structural relaxation, as listed in the Alexandria database. Values from VASP.

Results
- formation energy (no corrections) (eV/atom) = 0.857
- total magnetization (Bohr magnetons per cell) = 11.0
- uncorrected energy (eV per atom) = -5.776

Structure (Quantum ESPRESSO input):
```
&SYSTEM
  ibrav = 0, nat = 5, ntyp = 3
/
ATOMIC_SPECIES
Mn 54.94 Mn.upf
Br 79.90 Br.upf
Cl 35.45 Cl.upf
ATOMIC_POSITIONS crystal
Mn 0.000 0.500 0.000
Mn 0.000 0.000 0.500
Mn 0.500 0.000 0.000
Br 0.500 0.500 0.500
Cl 0.000 0.000 0.000
CELL_PARAMETERS angstrom
4.454 0.000 0.000
0.000 4.454 0.000
0.000 0.000 4.454
```



[20]
First-principles (PBEsol) data for Mo4BrCl after structural relaxation, as listed in the Alexandria database. Values from VASP.

Results
- formation energy (no corrections) (eV/atom) = 1.212
- total magnetization (Bohr magnetons per cell) = 0.0
- uncorrected energy (eV per atom) = -7.279

Structure (Quantum ESPRESSO input):
```
&SYSTEM
  ibrav = 0, nat = 6, ntyp = 3
/
ATOMIC_SPECIES
Br 79.90 Br.upf
Cl 35.45 Cl.upf
Mo 95.94 Mo.upf
ATOMIC_POSITIONS crystal
Br 0.750 0.750 0.750
Cl 0.000 0.000 0.000
Mo 0.368 0.368 0.368
Mo 0.368 0.368 0.895
Mo 0.895 0.368 0.368
Mo 0.368 0.895 0.368
CELL_PARAMETERS angstrom
-5.301 0.106 0.340
-2.453 -2.440 4.033
-2.362 2.868 3.799
```